1.
First-principles (PBE) data for a relaxed structure of RbCeTlI6, as listed in Alexandria via LeMat-Bulk.

Computed properties:
Formation energy without anion corrections = -10.03 eV/f.u.

Lattice parameters (Å, degrees): 8.071 8.071 15.155 90.00 90.00 90.00
Sites, in units of the cell vectors:
1 I 0.766 0.234 0.827
2 I 0.266 0.266 0.327
3 I 0.808 0.192 0.194
4 I 0.734 0.734 0.327
5 I 0.680 0.680 0.982
6 I 0.692 0.692 0.694
7 I 0.320 0.320 0.982
8 I 0.234 0.766 0.827
9 I 0.308 0.308 0.694
10 I 0.820 0.180 0.482
11 I 0.192 0.808 0.194
12 I 0.180 0.820 0.482
13 Tl 0.500 0.500 0.164
14 Tl 0.000 0.000 0.664
15 Rb 0.000 0.000 0.997
16 Rb 0.500 0.500 0.497
17 Ce 0.500 0.500 0.833
18 Ce 0.000 0.000 0.333

=====

2.
First-principles (PBE) data for a relaxed structure of TbNdN, as listed in Alexandria via LeMat-Bulk.

Computed properties:
Energy above the most stable polymorph in this dataset = 1.929 eV per formula unit
Formation energy without anion corrections = -0.94 eV/f.u.

Lattice parameters (Å, degrees): 4.349 4.349 4.349 60.00 60.00 60.00
Sites, in units of the cell vectors:
1 Nd 0.500 0.500 0.500
2 N 0.250 0.250 0.250
3 Tb 0.000 0.000 0.000

=====

3.
First-principles (PBE) data for a relaxed structure of Ce3Cd2Pd4, as listed in Alexandria via LeMat-Bulk.

Computed properties:
Energy relative to the elements = -0.577 eV/atom

Lattice parameters (Å, degrees): 4.735 5.282 8.910 90.61 90.00 116.63
Last column: magnetic moment on the atom in μB.
Sites, in units of the cell vectors:
1 Pd 0.299 0.599 0.906  -0.01
2 Pd 0.922 0.844 0.363  -0.02
3 Pd 0.701 0.401 0.094  -0.01
4 Pd 0.078 0.156 0.637  -0.02
5 Ce 0.624 0.248 0.402  0.61
6 Ce 0.376 0.752 0.598  0.61
7 Ce 0.000 0.000 0.000  0.71
8 Cd 0.320 0.639 0.219  0.00
9 Cd 0.680 0.361 0.781  0.00

=====

4.
First-principles (PBE) data for a relaxed structure of HfMgSe, as listed in Alexandria via LeMat-Bulk.

Computed properties:
Energy above the most stable polymorph in this dataset = 0.071 eV per formula unit
Formation energy without anion corrections = -1.87 eV/f.u.

Lattice parameters (Å, degrees): 5.995 3.400 12.925 90.00 107.13 90.00
Sites, in units of the cell vectors:
1 Hf 0.758 0.500 0.509
2 Hf 0.758 0.000 0.009
3 Hf 0.242 0.500 0.491
4 Hf 0.242 0.000 0.991
5 Se 0.431 0.000 0.368
6 Se 0.431 0.500 0.868
7 Se 0.569 0.500 0.132
8 Se 0.569 0.000 0.632
9 Mg 0.857 0.500 0.815
10 Mg 0.143 0.500 0.185
11 Mg 0.857 0.000 0.315
12 Mg 0.143 0.000 0.685

=====

5.
First-principles (PBE) data for a relaxed structure of Y3In, as listed in Alexandria via LeMat-Bulk.

Computed properties:
Energy relative to the elements = -0.185 eV/atom

Lattice parameters (Å, degrees): 6.427 8.134 9.679 90.00 90.00 90.00
Last column: magnetic moment on the atom in μB.
Sites, in units of the cell vectors:
1 Y 0.393 0.528 0.750  0.16
2 Y 0.847 0.681 0.551  0.16
3 Y 0.153 0.319 0.449  0.16
4 Y 0.653 0.181 0.949  0.16
5 Y 0.347 0.819 0.051  0.16
6 Y 0.347 0.819 0.449  0.16
7 Y 0.847 0.681 0.949  0.16
8 Y 0.653 0.181 0.551  0.16
9 Y 0.893 0.972 0.250  0.16
10 Y 0.607 0.472 0.250  0.16
11 Y 0.107 0.028 0.750  0.16
12 Y 0.153 0.319 0.051  0.16
13 In 0.434 0.113 0.250  0.00
14 In 0.934 0.387 0.750  0.00
15 In 0.066 0.613 0.250  0.00
16 In 0.566 0.887 0.750  0.00

=====

6.
First-principles (PBE) data for a relaxed structure of NdSc2Ti, as listed in Alexandria via LeMat-Bulk.

Computed properties:
Energy above the most stable polymorph in this dataset = 0.065 eV per formula unit
Energy relative to the elements = 0.165 eV/atom

Lattice parameters (Å, degrees): 3.274 3.274 10.770 81.26 81.26 60.00
Sites, in units of the cell vectors:
1 Nd 0.500 0.500 0.500
2 Sc 0.259 0.259 0.222
3 Sc 0.741 0.741 0.778
4 Ti 0.000 0.000 0.000

=====

7.
First-principles (PBE) data for a relaxed structure of Li6GaHg12, as listed in Alexandria via LeMat-Bulk.

Computed properties:
Energy relative to the elements = -0.220 eV/atom

Lattice parameters (Å, degrees): 7.410 7.410 7.410 91.97 91.97 91.97
Sites, in units of the cell vectors:
1 Li 0.263 0.714 0.885
2 Li 0.885 0.263 0.714
3 Li 0.286 0.115 0.737
4 Li 0.115 0.737 0.286
5 Li 0.714 0.885 0.263
6 Li 0.737 0.286 0.115
7 Hg 0.800 0.552 0.441
8 Hg 0.141 0.362 0.004
9 Hg 0.996 0.859 0.638
10 Hg 0.200 0.448 0.559
11 Hg 0.638 0.996 0.859
12 Hg 0.362 0.004 0.141
13 Hg 0.559 0.200 0.448
14 Hg 0.004 0.141 0.362
15 Hg 0.441 0.800 0.552
16 Hg 0.552 0.441 0.800
17 Hg 0.448 0.559 0.200
18 Hg 0.859 0.638 0.996
19 Ga 0.000 0.000 0.000

=====

8.
First-principles (PBE) data for a relaxed structure of LuPaMnMo, as listed in Alexandria via LeMat-Bulk.

Computed properties:
Energy relative to the elements = 0.146 eV/atom

Lattice parameters (Å, degrees): 4.804 4.804 4.804 60.00 60.00 60.00
Last column: magnetic moment on the atom in μB.
Sites, in units of the cell vectors:
1 Lu 0.750 0.750 0.750  -0.11
2 Mo 0.000 0.000 0.000  0.22
3 Mn 0.500 0.500 0.500  2.25
4 Pa 0.250 0.250 0.250  -0.40

=====

9.
First-principles (PBE) data for a relaxed structure of NaTlAs, as listed in Alexandria via LeMat-Bulk.

Computed properties:
Energy above the most stable polymorph in this dataset = 0.088 eV per formula unit
Energy relative to the elements = -0.149 eV/atom

Lattice parameters (Å, degrees): 6.617 6.450 8.502 90.00 90.00 120.86
Sites, in units of the cell vectors:
1 Na 0.355 0.210 0.250
2 Na 0.855 0.210 0.250
3 Na 0.145 0.790 0.750
4 Na 0.645 0.790 0.750
5 As 0.108 0.215 0.945
6 As 0.608 0.215 0.555
7 As 0.392 0.785 0.445
8 As 0.892 0.785 0.055
9 Tl 0.361 0.722 0.094
10 Tl 0.639 0.278 0.906
11 Tl 0.139 0.278 0.594
12 Tl 0.861 0.722 0.406

=====

10.
First-principles (PBE) data for a relaxed structure of GaGe2S, as listed in Alexandria via LeMat-Bulk.

Computed properties:
Energy above the most stable polymorph in this dataset = 0.000 eV per formula unit
Formation energy without anion corrections = 0.50 eV/f.u.

Lattice parameters (Å, degrees): 5.679 5.679 7.284 67.05 67.05 90.00
Sites, in units of the cell vectors:
1 Ge 0.628 0.125 0.250
2 Ge 0.122 0.625 0.250
3 Ge 0.375 0.372 0.750
4 Ge 0.875 0.878 0.750
5 S 0.500 0.500 0.000
6 S 0.250 0.750 0.500
7 Ga 0.000 0.000 0.000
8 Ga 0.750 0.250 0.500

=====

11.
First-principles (PBE) data for a relaxed structure of Er4Mg3Cd2, as listed in Alexandria via LeMat-Bulk.

Computed properties:
Energy relative to the elements = -0.153 eV/atom

Lattice parameters (Å, degrees): 5.248 5.248 9.787 89.98 90.00 60.00
Sites, in units of the cell vectors:
1 Mg 0.667 0.667 0.514
2 Mg 0.000 0.000 0.000
3 Mg 0.333 0.333 0.486
4 Cd 0.333 0.333 0.800
5 Cd 0.667 0.667 0.200
6 Er 0.333 0.333 0.120
7 Er 0.667 0.667 0.880
8 Er 0.000 0.000 0.673
9 Er 0.000 0.000 0.327

=====

12.
First-principles (PBE) data for a relaxed structure of CePmErPb, as listed in Alexandria via LeMat-Bulk.

Computed properties:
Energy relative to the elements = -0.061 eV/atom

Lattice parameters (Å, degrees): 5.477 5.477 5.477 60.00 60.00 60.00
Last column: magnetic moment on the atom in μB.
Sites, in units of the cell vectors:
1 Pm 0.750 0.750 0.750  0.00
2 Pb 0.500 0.500 0.500  -0.01
3 Er 0.250 0.250 0.250  0.01
4 Ce 0.000 0.000 0.000  0.53